First-principles (PBEsol) data for Sc2Ni2Pt after structural relaxation, as listed in Alexandria via LeMat-Bulk.

## Properties
formation energy: -0.70 eV/atom
N(E_F): 0.654 states/eV per atom
E_tot: -7.201 eV/atom
total moment: 0.0 μB/f.u.

Cell: 3.342 6.720 6.720 Å, 90.00 90.00 90.00°
Atoms (fractional coordinates):
Ni  0.000  0.622  0.122
Sc  0.500  0.820  0.320
Pt  0.000  0.000  0.000
Sc  0.500  0.680  0.820
Ni  0.000  0.378  0.878
Ni  0.000  0.878  0.622
Ni  0.000  0.122  0.378
Pt  0.000  0.500  0.500
Sc  0.500  0.180  0.680
Sc  0.500  0.320  0.180


First-principles (PBEsol) data for Ni2PtSe after structural relaxation, as listed in Alexandria via LeMat-Bulk.

## Properties
N(E_F): 0.721 states/eV per atom
uncorrected formation energy: 16 meV per atom
E_tot: -5.766 eV/atom
total moment: 0.0 μB/f.u.

Cell: 2.906 2.906 6.141 Å, 90.00 90.00 90.00°
Atoms (fractional coordinates):
Ni  0.000  0.000  0.728
Se  0.500  0.500  0.500
Ni  0.000  0.000  0.272
Pt  0.500  0.500  0.000


First-principles (PBEsol) data for Ni2PtSe after structural relaxation, as listed in Alexandria via LeMat-Bulk.

## Properties
N(E_F): 0.941 states/eV per atom
uncorrected formation energy: 95 meV per atom
E_tot: -5.687 eV/atom
total moment: 0.0 μB/f.u.

Cell: 3.213 4.220 4.702 Å, 116.66 109.98 90.00°
Atoms (fractional coordinates):
Ni  0.722  0.722  0.443
Ni  0.278  0.278  0.557
Pt  0.500  0.000  0.000
Se  0.000  0.500  0.000


First-principles (PBEsol) data for Ni2PtSe after structural relaxation, as listed in Alexandria via LeMat-Bulk.

## Properties
N(E_F): 0.946 states/eV per atom
uncorrected formation energy: 115 meV per atom
E_tot: -5.667 eV/atom
total moment: 0.0 μB/f.u.

Cell: 3.695 3.695 4.641 Å, 113.46 113.46 90.00°
Atoms (fractional coordinates):
Se  0.250  0.750  0.500
Ni  0.750  0.250  0.500
Pt  0.500  0.500  0.000
Ni  0.000  0.000  0.000


First-principles (PBEsol) data for Ni2PtSe after structural relaxation, as listed in Alexandria via LeMat-Bulk.

## Properties
N(E_F): 1.000 states/eV per atom
uncorrected formation energy: 26 meV per atom
E_tot: -5.756 eV/atom
total moment: 0.0 μB/f.u.

Cell: 2.903 4.051 4.463 Å, 90.00 90.00 90.00°
Atoms (fractional coordinates):
Ni  0.876  0.000  0.947
Pt  0.375  0.000  0.444
Se  0.375  0.500  0.841
Ni  0.875  0.500  0.268


First-principles (PBEsol) data for Si3NiPt after structural relaxation, as listed in Alexandria via LeMat-Bulk.

## Properties
N(E_F): 0.582 states/eV per atom
uncorrected formation energy: 329 meV per atom
E_tot: -5.744 eV/atom
total moment: 0.0 μB/f.u.

Cell: 4.278 4.278 4.278 Å, 90.00 90.00 90.00°
Atoms (fractional coordinates):
Pt  0.500  0.500  0.500
Si  0.000  0.500  0.000
Si  0.500  0.000  0.000
Si  0.000  0.000  0.500
Ni  0.000  0.000  0.000


First-principles (PBEsol) data for Si2NiPt after structural relaxation, as listed in Alexandria via LeMat-Bulk.

## Properties
N(E_F): 0.408 states/eV per atom
uncorrected formation energy: -180 meV per atom
E_tot: -6.334 eV/atom
total moment: 0.0 μB/f.u.

Cell: 2.748 2.816 7.899 Å, 90.00 90.00 119.21°
Atoms (fractional coordinates):
Pt  0.500  0.000  0.000
Ni  0.500  0.000  0.500
Si  0.000  0.000  0.266
Si  0.000  0.000  0.734


First-principles (PBEsol) data for Si2Ni2Pt after structural relaxation, as listed in Alexandria via LeMat-Bulk.

## Properties
N(E_F): 0.148 states/eV per atom
uncorrected formation energy: -582 meV per atom
E_tot: -6.736 eV/atom
total moment: 0.0 μB/f.u.

Cell: 2.853 6.482 6.482 Å, 90.00 90.00 90.00°
Atoms (fractional coordinates):
Si  0.000  0.351  0.851
Ni  0.500  0.861  0.361
Pt  0.000  0.500  0.500
Pt  0.000  0.000  0.000
Si  0.000  0.649  0.149
Ni  0.500  0.139  0.639
Si  0.000  0.851  0.649
Si  0.000  0.149  0.351
Ni  0.500  0.639  0.861
Ni  0.500  0.361  0.139


Copy entry 8 word for word.
First-principles (PBEsol) data for Si2Ni2Pt after structural relaxation, as listed in Alexandria via LeMat-Bulk.

## Properties
N(E_F): 0.148 states/eV per atom
uncorrected formation energy: -582 meV per atom
E_tot: -6.736 eV/atom
total moment: 0.0 μB/f.u.

Cell: 2.853 6.482 6.482 Å, 90.00 90.00 90.00°
Atoms (fractional coordinates):
Si  0.000  0.351  0.851
Ni  0.500  0.861  0.361
Pt  0.000  0.500  0.500
Pt  0.000  0.000  0.000
Si  0.000  0.649  0.149
Ni  0.500  0.139  0.639
Si  0.000  0.851  0.649
Si  0.000  0.149  0.351
Ni  0.500  0.639  0.861
Ni  0.500  0.361  0.139